# AlHg | Alexandria via LeMat-Bulk | PBE-GGA | optimized geometry
# Theoretical density ... 8.695 g/cm³
# Size of the total moment ... 0.0 μB/f.u.
# Symmetry ... No. 74
# Uncorrected energy ... -1.86 eV/atom
data_AlHg
_chemical_formula_sum 'Al2 Hg2'
_symmetry_space_group_name_H-M 'P 1'
_symmetry_Int_Tables_number 1
_symmetry_space_group_name_Hall 'P 1'
_cell_length_a 6.706
_cell_length_b 6.703
_cell_length_c 2.995
_cell_angle_alpha 77.09
_cell_angle_beta 77.10
_cell_angle_gamma 41.67
loop_
_atom_site_label
_atom_site_type_symbol
_atom_site_fract_x
_atom_site_fract_y
_atom_site_fract_z
_atom_site_occupancy
Hg1 Hg 0.612 0.445 0.471 1
Hg2 Hg 0.304 0.138 0.279 1
Al1 Al 0.056 0.888 0.028 1
Al2 Al 0.861 0.695 0.722 1